Density functional theory data (GGA-PBE) for a geometry-optimized LaCr2Mo structure.

Structure (CIF):
```
data_LaCr2Mo
_cell_length_a 2.840
_cell_length_b 2.840
_cell_length_c 9.079
_cell_angle_alpha 90.00
_cell_angle_beta 90.00
_cell_angle_gamma 113.01
_space_group_name_H-M_alt 'P 1'
_space_group_IT_number 1
_space_group_name_Hall 'P 1'
loop_
_atom_site_label
_atom_site_fract_x
_atom_site_fract_y
_atom_site_fract_z
Cr1 0.000 0.000 0.015
Cr2 0.500 0.500 0.199
La1 0.000 0.000 0.489
Mo1 0.500 0.500 0.797
```

Output
- DFT formation energy: 0.60 eV/atom
- E above lowest polymorph: 0.176 eV per atom